# 1
Compound: Cd2PtBr
Source: the Alexandria database
Functional: PBE-GGA
Structure: optimized geometry

Cell: 3.963 3.963 11.494 Å, 90.00 90.00 90.00°
Space group I-4m2 (No. 119)
Unique sites:
Cd 0.000 0.000 0.000 x2
Cd 0.000 0.500 0.250 x2
Pt 0.000 0.500 0.750 x2
Br 0.000 0.000 0.500 x2

Computed properties:
Polymorph energy (0 for the lowest one): 366 meV/atom
V: 180.54 Å³/cell
Spin magnetization: 0.0 μB/cell
Electronic total energy: -2.305 eV per atom
Crystal system: tetragonal


# 2
Compound: Cd2PtBr
Source: the Alexandria database
Functional: PBE-GGA
Structure: optimized geometry

Cell: 3.375 3.375 7.631 Å, 90.00 90.00 90.00°
Space group P4/mmm (No. 123)
Unique sites:
Cd 0.000 0.000 0.206 x2
Pt 0.500 0.500 0.000 x1
Br 0.500 0.500 0.500 x1

Computed properties:
Polymorph energy (0 for the lowest one): 69 meV/atom
V: 86.90 Å³/cell
Spin magnetization: 0.0 μB/cell
Electronic total energy: -2.602 eV per atom
Crystal system: tetragonal


# 3
Compound: CdPtBr2
Source: the Alexandria database
Functional: PBE-GGA
Structure: optimized geometry

Cell: 3.618 4.164 6.308 Å, 90.00 90.00 90.00°
Space group Pmmm (No. 47)
Unique sites:
Cd 0.000 0.000 0.000 x1
Pt 0.500 0.000 0.500 x1
Br 0.000 0.500 0.500 x1
Br 0.500 0.500 0.000 x1

Computed properties:
Polymorph energy (0 for the lowest one): 368 meV/atom
V: 95.03 Å³/cell
Spin magnetization: 0.0 μB/cell
Electronic total energy: -2.413 eV per atom
Crystal system: orthorhombic


# 4
Compound: Cd2PtBr
Source: the Alexandria database
Functional: PBE-GGA
Structure: optimized geometry

Cell: 5.515 13.329 3.485 Å, 90.00 129.08 90.00°
Space group C2 (No. 5)
Unique sites:
Cd 0.000 0.000 0.000 x2
Cd 0.000 0.331 0.500 x2
Pt 0.000 0.841 0.500 x2
Br 0.000 0.637 0.500 x2

Computed properties:
Polymorph energy (0 for the lowest one): 0 meV/atom
V: 198.87 Å³/cell
Spin magnetization: 0.0 μB/cell
Electronic total energy: -2.671 eV per atom
Crystal system: monoclinic


# 5
Compound: CdPt2Br
Source: the Alexandria database
Functional: PBE-GGA
Structure: optimized geometry

Cell: 9.810 3.238 4.798 Å, 90.00 97.35 90.00°
Space group C2/m (No. 12)
Unique sites:
Cd 0.000 0.000 0.000 x2
Pt 0.230 0.500 0.234 x4
Br 0.000 0.500 0.500 x2

Computed properties:
Polymorph energy (0 for the lowest one): 183 meV/atom
V: 151.18 Å³/cell
Spin magnetization: 0.0 μB/cell
Electronic total energy: -3.456 eV per atom
Crystal system: monoclinic


# 6
Compound: CdPt2Br
Source: the Alexandria database
Functional: PBE-GGA
Structure: optimized geometry

Cell: 3.041 5.119 9.526 Å, 90.00 90.00 90.00°
Space group Cmmm (No. 65)
Unique sites:
Cd 0.000 0.000 0.000 x2
Pt 0.000 0.500 0.239 x4
Br 0.000 0.000 0.500 x2

Computed properties:
Polymorph energy (0 for the lowest one): 251 meV/atom
V: 148.29 Å³/cell
Spin magnetization: 0.0 μB/cell
Electronic total energy: -3.388 eV per atom
Crystal system: orthorhombic


Number 1: formation energy from raw total energies 0.08 eV per atom. Number 2: formation energy from raw total energies -0.22 eV per atom. Number 3: formation energy from raw total energies 0.16 eV per atom. Number 4: formation energy from raw total energies -0.28 eV per atom. Number 5: formation energy from raw total energies 0.21 eV per atom. Number 6: formation energy from raw total energies 0.28 eV per atom.